The following is a PBE with a Hubbard U calculation of a geometry-optimized La2NdWO8 structure, from Alexandria.

```
La2NdWO8
1.0
4.4034 0.0000 0.0000
0.0000 7.2561 0.0000
-0.4164 0.0000 5.5207
La Nd W O
2 1 1 8
Direct
0.0000 0.2484 0.0000
0.0000 0.7516 0.0000
0.5000 0.5000 0.5000
0.5000 0.0000 0.5000
0.0427 0.5000 0.2496
0.0953 0.0000 0.3276
0.4346 0.2025 0.7297
0.4346 0.7975 0.7297
0.5654 0.2025 0.2703
0.5654 0.7975 0.2703
0.9047 0.0000 0.6724
0.9573 0.5000 0.7504
```

Results
**Raw total energy**: -94.2 eV per formula unit
**Symmetry**: P2/m